Density functional theory data (GGA-PBE) for an optimized crystal structure of MnBTe2Pd.

The structure belongs to space group P4/mmm (No. 123); the cell edges are 5.369, 5.369 and 3.899 Å and the angles 90.00°, 90.00° and 90.00°. The inequivalent atoms are Mn at (0.000, 0.000, 0.000), B at (0.500, 0.500, 0.000), Te at (0.000, 0.500, 0.500) and Pd at (0.500, 0.500, 0.500).

Its total energy is -4.361 eV/atom. As for the calculated density: 6.32 g/cm3.

***

Density functional theory data (GGA-PBE) for an optimized crystal structure of HgP.

The structure belongs to space group Imm2 (No. 44); the cell edges are 4.052, 10.043 and 7.825 Å and the angles 90.00°, 90.00° and 90.00°. The inequivalent atoms are Hg at (0.000, 0.000, 0.000), Hg at (0.000, 0.169, 0.410), P at (0.000, 0.238, 0.066) and P at (0.000, 0.500, 0.806).

Its total energy is -2.358 eV/atom. As for the calculated density: 7.24 g/cm3. The energy above the lowest structure with this stoichiometry comes out at 468.6 meV/atom. The formation energy comes out at 498 meV/atom.

***

Density functional theory data (GGA-PBE) for an optimized crystal structure of Nd4IrSBr2.

The structure belongs to space group P2/m (No. 10); the cell edges are 7.415, 4.072 and 7.883 Å and the angles 90.00°, 107.54° and 90.00°. The inequivalent atoms are Nd at (0.218, 0.000, 0.201), Nd at (0.266, 0.500, 0.799), Ir at (0.000, 0.500, 0.000), S at (0.500, 0.000, 0.000), Br at (0.000, 0.000, 0.500) and Br at (0.500, 0.500, 0.500).

Its total energy is -5.751 eV/atom. As for the calculated density: 7.03 g/cm3.

***

Density functional theory data (GGA-PBE) for an optimized crystal structure of CoSi2Os.

The structure belongs to space group R3m (No. 160, hexagonal axes); the cell edges are 2.8259, 2.8259 and 22.6123 Å and the angles 90.00°, 90.00° and 120.00°. The inequivalent atoms are Co at (0.0000, 0.0000, 0.0000), Si at (0.0000, 0.0000, 0.2621), Si at (0.0000, 0.0000, 0.5068) and Os at (0.0000, 0.0000, 0.7603).

Its total energy is -7.260 eV/atom. As for the calculated density: 9.73 g/cm3.

***

Density functional theory data (GGA-PBE) for an optimized crystal structure of CsTlIn2Br8.

The structure belongs to space group I-4 (No. 82); the cell edges are 7.503, 7.503 and 17.696 Å and the angles 90.00°, 90.00° and 90.00°. The inequivalent atoms are Cs at (0.000, 0.000, 0.000), Tl at (0.000, 0.500, 0.750), In at (0.000, 0.000, 0.500), In at (0.000, 0.500, 0.250), Br at (0.132, 0.246, 0.583) and Br at (0.152, 0.744, 0.173).

Its total energy is -2.854 eV/atom. As for the calculated density: 4.02 g/cm3.

***

Density functional theory data (GGA-PBE) for an optimized crystal structure of Rb2TlCuCl4.

The structure belongs to space group Cmcm (No. 63); the cell edges are 4.430, 16.723 and 16.337 Å and the angles 90.00°, 90.00° and 90.00°. The inequivalent atoms are Rb at (0.000, 0.126, 0.051), Tl at (0.000, 0.335, 0.250), Cu at (0.000, 0.294, 0.750), Cl at (0.000, 0.136, 0.250), Cl at (0.000, 0.234, 0.623) and Cl at (0.000, 0.500, 0.000).

Its total energy is -3.271 eV/atom. As for the calculated density: 3.19 g/cm3.

***

Density functional theory data (GGA-PBE) for an optimized crystal structure of ZrCrGe.

The structure belongs to space group Cm (No. 8); the cell edges are 9.999, 3.819 and 6.808 Å and the angles 90.00°, 128.19° and 90.00°. The inequivalent atoms are Zr at (0.000, 0.000, 0.000), Zr at (0.141, 0.000, 0.636), Cr at (0.253, 0.500, 0.409), Cr at (0.392, 0.000, 0.592), Ge at (0.197, 0.500, 0.981) and Ge at (0.437, 0.000, 0.253).

Its total energy is -7.782 eV/atom. As for the calculated density: 7.02 g/cm3. The formation energy comes out at -185 meV/atom.

***

Density functional theory data (GGA-PBE) for an optimized crystal structure of MnCo2Tc.

The structure belongs to space group P4/mmm (No. 123); the cell edges are 3.585, 3.585 and 3.638 Å and the angles 90.00°, 90.00° and 90.00°. The inequivalent atoms are Mn at (0.000, 0.000, 0.000), Co at (0.000, 0.500, 0.500) and Tc at (0.500, 0.500, 0.000).

Its total energy is -8.409 eV/atom. As for the calculated density: 9.62 g/cm3. The energy above the lowest structure with this stoichiometry comes out at 16.0 meV/atom. The formation energy comes out at 28 meV/atom.

***

Density functional theory data (GGA-PBE) for an optimized crystal structure of Li2OsBr.

The structure belongs to space group Immm (No. 71); the cell edges are 2.987, 4.697 and 8.712 Å and the angles 90.00°, 90.00° and 90.00°. The inequivalent atoms are Li at (0.000, 0.000, 0.233), Os at (0.000, 0.500, 0.000) and Br at (0.000, 0.500, 0.500).

Its total energy is -3.762 eV/atom. As for the calculated density: 7.72 g/cm3. The energy above the lowest structure with this stoichiometry comes out at 400.1 meV/atom.

***

Density functional theory data (GGA-PBE) for an optimized crystal structure of DyInCoIr.

The structure belongs to space group F-43m (No. 216); the cell edges are 6.573, 6.573 and 6.573 Å and the angles 90.00°, 90.00° and 90.00°. The inequivalent atoms are Dy at (0.000, 0.000, 0.000), In at (0.000, 0.000, 0.500), Co at (0.250, 0.250, 0.750) and Ir at (0.250, 0.250, 0.250).

Its total energy is -6.141 eV/atom. As for the calculated density: 12.36 g/cm3. The formation energy comes out at -314 meV/atom.

***

Density functional theory data (GGA-PBE) for an optimized crystal structure of Sc2BiAu.

The structure belongs to space group I-42d (No. 122); the cell edges are 7.708, 7.708 and 6.641 Å and the angles 90.00°, 90.00° and 90.00°. The inequivalent atoms are Sc at (0.222, 0.750, 0.125), Bi at (0.000, 0.000, 0.500) and Au at (0.000, 0.000, 0.000).

Its total energy is -5.366 eV/atom. As for the calculated density: 8.35 g/cm3. The formation energy comes out at -411 meV/atom.

***

Density functional theory data (GGA-PBE) for an optimized crystal structure of Tb3PuC.

The structure belongs to space group Pm-3m (No. 221); the cell edges are 5.046, 5.046 and 5.046 Å and the angles 90.00°, 90.00° and 90.00°. The inequivalent atoms are Tb at (0.000, 0.000, 0.500), Pu at (0.500, 0.500, 0.500) and C at (0.000, 0.000, 0.000).

Its total energy is -7.368 eV/atom. As for the calculated density: 9.47 g/cm3. The formation energy comes out at 121 meV/atom.